1.
Material: In4I2F
Method: DFT, GGA-PBE
State: relaxed

Its uncorrected formation energy is -0.57 eV/atom. The density is 4.88 g/cm³. The density of states at the Fermi level comes out at 0.271 states/eV/atom. The size of the total moment comes out at 0.000 μB/atom.

Lattice parameters (Å, degrees): 5.0577 5.0577 10.3833 75.90 75.90 90.00
Closest atoms and distances in Å follow each position.
Element x y z (fractional)
I: 0.6661 0.6661 0.6678  5 In 3.30-3.58
I: 0.3339 0.3339 0.3322  5 In 3.30-3.58
In: 0.8354 0.8354 0.3293  1 F 3.21, 5 I 3.30-3.58
In: 0.0000 0.5000 0.0000  2 F 2.53
In: 0.5000 0.0000 0.0000  2 F 2.53
In: 0.1646 0.1646 0.6707  1 F 3.21, 5 I 3.30-3.58
F: 0.0000 0.0000 0.0000  4 In 2.53

---

2.
Material: LiInIF2
Method: DFT, GGA-PBE
State: relaxed

Its uncorrected formation energy is -0.55 eV/atom. The density is 3.28 g/cm³. The density of states at the Fermi level comes out at 0.581 states/eV/atom. The size of the total moment comes out at 0.000 μB/atom.

Lattice parameters (Å, degrees): 4.7733 6.3679 4.7733 90.00 90.00 90.00
Closest atoms and distances in Å follow each position.
Element x y z (fractional)
In: 0.0000 0.5000 0.0000  2 I 3.18, 4 Li 3.38
F: 0.0000 0.0000 0.5000  2 I 2.39
F: 0.5000 0.0000 0.0000  2 I 2.39
I: 0.0000 0.0000 0.0000  4 F 2.39
Li: 0.5000 0.5000 0.5000  4 In 3.38

---

3.
Material: MgInI2F
Method: DFT, GGA-PBE
State: relaxed

Its uncorrected formation energy is -1.43 eV/atom. The density is 4.79 g/cm³. The size of the total moment comes out at 0.000 μB/atom.

Lattice parameters (Å, degrees): 6.0209 6.0209 3.9379 90.00 90.00 90.00
Closest atoms and distances in Å follow each position.
Element x y z (fractional)
Mg: 0.0000 0.0000 0.0000  2 F 1.97
F: 0.0000 0.0000 0.5000  2 Mg 1.97
I: 0.0000 0.5000 0.0000  2 Mg 3.01
I: 0.5000 0.0000 0.0000  2 Mg 3.01
In: 0.5000 0.5000 0.5000  8 I 3.60, 2 In 3.94